(1)
HoTl2B2O6 | PBE | relaxed

abc: 5.4773 5.4781 6.8126
angles: 113.85 90.00 119.99
Element x y z (fractional)
1 B 0.0892 0.1784 0.2698
2 B 0.9108 0.8216 0.7302
3 Tl 0.7146 0.4292 0.1449
4 O 0.2355 0.0326 0.2705
5 O 0.2029 0.9674 0.7295
6 Ho 0.5000 0.0000 0.5000
7 O 0.7971 0.0326 0.2705
8 O 0.2360 0.4720 0.2721
9 O 0.7640 0.5280 0.7279
10 Tl 0.2854 0.5708 0.8551
11 O 0.7645 0.9674 0.7295

Results
For the density of states at the Fermi level, the calculation gives 5.4 states/eV/cell. The value obtained for the total energy is -6.884 eV/atom. The calculation puts the spin magnetization at 0.000 μB/atom.


(2)
Mg2NpTc3N6 | PBE | relaxed

abc: 5.3568 5.3568 5.4068
angles: 99.40 99.40 120.87
Site moments in Bohr magnetons follow the coordinates.
Element x y z (fractional)
1 N 0.9133 0.5623 0.7323  -0.04
2 N 0.0867 0.4377 0.2677  -0.04
3 N 0.5623 0.9133 0.7323  -0.04
4 Mg 0.6713 0.3287 0.0000  0.00
5 Mg 0.3287 0.6713 0.0000  0.00
6 Np 0.0000 0.0000 0.0000  2.12
7 Tc 0.1464 0.8536 0.5000  -0.01
8 N 0.4377 0.0867 0.2677  -0.04
9 Tc 0.8536 0.1464 0.5000  -0.01
10 N 0.7273 0.7273 0.2395  -0.04
11 N 0.2727 0.2727 0.7605  -0.04
12 Tc 0.5000 0.5000 0.5000  0.08

Results
For the density of states at the Fermi level, the calculation gives 9.3 states/eV/cell. The value obtained for the total energy is -8.573 eV/atom. The calculation puts the spin magnetization at 0.164 μB/atom.


(3)
Rb2TbCl4 | PBE | relaxed

abc: 5.3690 5.3690 9.2342
angles: 106.90 106.90 90.00
Site moments in Bohr magnetons follow the coordinates.
Element x y z (fractional)
1 Tb 0.0000 0.0000 0.0000  0.22
2 Cl 0.5000 0.0000 0.0000  -0.01
3 Cl 0.1616 0.1616 0.3233  0.00
4 Rb 0.6425 0.6425 0.2849  0.00
5 Cl 0.8384 0.8384 0.6767  0.00
6 Rb 0.3575 0.3575 0.7151  0.00
7 Cl 0.0000 0.5000 0.0000  -0.01

Results
For the density of states at the Fermi level, the calculation gives 3.1 states/eV/cell. The value obtained for the total energy is -3.879 eV/atom. The calculation puts the spin magnetization at 0.052 μB/atom.


Q: Among the records above, which one has the lowest spin magnetization?
A: HoTl2B2O6